## ScCd11Cu (PBE)

Data for a geometry-optimized ScCd11Cu structure.

Structure (CIF):
```
data_ScCd11Cu
_chemical_formula_sum 'Sc1 Cd11 Cu1'
_symmetry_space_group_name_H-M 'P 1'
_symmetry_Int_Tables_number 1
_cell_length_a 5.792
_cell_length_b 7.508
_cell_length_c 7.581
_cell_angle_alpha 81.62
_cell_angle_beta 67.54
_cell_angle_gamma 67.57
loop_
_symmetry_equiv_pos_as_xyz
'x,y,z'
loop_
_atom_site_label
_atom_site_fract_x
_atom_site_fract_y
_atom_site_fract_z
Cd1 0.500 0.000 0.500
Cd2 0.646 0.354 0.338
Cu1 0.500 0.500 0.000
Cd3 0.354 0.646 0.662
Cd4 0.984 0.354 0.662
Cd5 0.488 0.784 0.206
Cd6 0.000 0.500 0.000
Cd7 0.307 0.216 0.206
Cd8 0.000 0.000 0.500
Cd9 0.512 0.216 0.794
Sc1 0.000 0.000 0.000
Cd10 0.016 0.646 0.338
Cd11 0.693 0.784 0.794
```

Calculated values
Magnetic moment: 0.0 μB/f.u.
VASP energy: -20.6 eV per cell
Formation energy: -6.2 meV per atom